Below is a relaxed KTa2Pt crystal, with properties calculated at the PBE-GGA level.

a b c (Å): 5.750 5.750 2.795
angles (deg): 90.00 90.00 121.90
Positions (direct):
K  0.000  0.000  0.000
Ta  0.000  0.500  0.500
Ta  0.500  0.000  0.500
Pt  0.500  0.500  0.000

Output
* E above lowest polymorph: 0.734 eV/atom
* SG: Cmmm (65)